[1]
A plane-wave DFT calculation with PBE-GGA was carried out for a relaxed Pm3Tl6Br14 crystal.

Lattice parameters (Å, degrees): 8.155 11.229 11.229 120.00 90.00 90.00
Each line ends with the local moment (μB).
Sites, in units of the cell vectors:
Pm1 0.896 0.000 0.000  0.10
Pm2 0.342 0.333 0.667  0.00
Pm3 0.408 0.667 0.333  0.00
Tl1 0.276 0.876 0.126  0.04
Tl2 0.276 0.874 0.750  0.04
Tl3 0.276 0.250 0.124  0.04
Tl4 0.799 0.490 0.509  0.00
Tl5 0.799 0.491 0.981  0.00
Tl6 0.799 0.019 0.510  0.00
Br1 0.968 0.140 0.278  0.01
Br2 0.968 0.722 0.862  0.01
Br3 0.968 0.138 0.860  0.01
Br4 0.498 0.208 0.416  0.00
Br5 0.498 0.584 0.792  0.00
Br6 0.498 0.208 0.792  0.00
Br7 0.554 0.000 0.000  0.01
Br8 0.000 0.333 0.667  0.00
Br9 0.631 0.785 0.216  0.01
Br10 0.631 0.784 0.568  0.01
Br11 0.631 0.432 0.215  0.01
Br12 0.211 0.543 0.457  0.01
Br13 0.211 0.543 0.086  0.01
Br14 0.211 0.914 0.457  0.01

Output
Space group = P3, No. 143
N(E_F) = 0.08 states/eV per atom
Formation energy (no corrections) = -2814.9 kJ/mol of formula units
Calculated volume = 890.5 Å³/cell

[2]
A plane-wave DFT calculation with PBE-GGA was carried out for a relaxed BeAg crystal.

Lattice parameters (Å, degrees): 3.756 3.756 3.756 60.00 60.00 60.00
Sites, in units of the cell vectors:
Be1 0.750 0.750 0.750
Ag1 0.000 0.000 0.000

Output
Space group = F-43m, No. 216
Energy of formation from the pure elements = 0.93 eV/atom
N(E_F) = 0.51 states/eV per atom
Calculated volume = 37.5 Å³/cell

[3]
A plane-wave DFT calculation with PBE-GGA was carried out for a relaxed Li5In6Ge crystal.

Lattice parameters (Å, degrees): 4.296 8.641 8.292 121.40 104.78 90.01
Sites, in units of the cell vectors:
Ge1 0.000 0.000 0.000
In1 0.830 0.571 0.663
In2 0.830 0.092 0.663
In3 0.500 0.737 0.000
In4 0.500 0.263 0.000
In5 0.170 0.908 0.337
In6 0.170 0.429 0.337
Li1 0.651 0.151 0.303
Li2 0.329 0.329 0.658
Li3 0.000 0.500 0.000
Li4 0.671 0.671 0.342
Li5 0.349 0.849 0.697

Output
Space group = C2/m, No. 12
Energy of formation from the pure elements = -0.20 eV/atom
N(E_F) = 0.35 states/eV per atom
Calculated volume = 250.7 Å³/cell

[4]
A plane-wave DFT calculation with PBE-GGA was carried out for a relaxed PuZr5Sc8 crystal.

Lattice parameters (Å, degrees): 7.654 7.654 7.654 106.42 115.77 106.42
Each line ends with the local moment (μB).
Sites, in units of the cell vectors:
Pu1 0.250 0.500 0.750  -5.83
Zr1 0.941 0.225 0.055  0.07
Zr2 0.945 0.887 0.171  0.07
Zr3 0.829 0.775 0.716  0.07
Zr4 0.500 0.000 0.500  0.37
Zr5 0.284 0.113 0.059  0.07
Sc1 0.066 0.598 0.985  -0.20
Sc2 0.015 0.081 0.613  -0.20
Sc3 0.762 0.308 0.401  -0.05
Sc4 0.599 0.361 0.907  -0.05
Sc5 0.546 0.639 0.238  -0.05
Sc6 0.532 0.919 0.934  -0.20
Sc7 0.387 0.402 0.468  -0.20
Sc8 0.093 0.692 0.454  -0.05

Output
Space group = I-4, No. 82
Energy of formation from the pure elements = 0.31 eV/atom
N(E_F) = 1.52 states/eV per atom
Calculated volume = 342.0 Å³/cell

[5]
A plane-wave DFT calculation with PBE-GGA was carried out for a relaxed Cs2CaInI6 crystal.

Lattice parameters (Å, degrees): 8.812 8.812 8.812 60.00 60.00 90.00
Sites, in units of the cell vectors:
Cs1 0.750 0.250 0.500
Cs2 0.250 0.750 0.500
I1 0.250 0.250 0.500
I2 0.750 0.750 0.500
I3 0.250 0.250 0.000
I4 0.750 0.750 0.000
I5 0.750 0.250 0.000
I6 0.250 0.750 0.000
Ca1 0.500 0.500 0.000
In1 0.000 0.000 0.000

Output
Space group = Fm-3m, No. 225
N(E_F) = 0.67 states/eV per atom
Formation energy (no corrections) = -1161.9 kJ/mol of formula units
Calculated volume = 483.8 Å³/cell

[6]
A plane-wave DFT calculation with PBE-GGA was carried out for a relaxed Pu2Ni3Ge4Rh crystal.

Lattice parameters (Å, degrees): 4.114 4.114 9.883 90.00 90.00 90.00
Each line ends with the local moment (μB).
Sites, in units of the cell vectors:
Pu1 0.500 0.000 0.244  5.13
Pu2 0.000 0.500 0.756  5.13
Ni1 0.000 0.000 0.500  0.26
Ni2 0.500 0.000 0.876  0.00
Ni3 0.000 0.500 0.124  0.00
Ge1 0.500 0.500 0.000  -0.03
Ge2 0.000 0.000 0.000  -0.03
Ge3 0.500 0.000 0.639  -0.01
Ge4 0.000 0.500 0.361  -0.01
Rh1 0.500 0.500 0.500  0.13

Output
Space group = P-4m2, No. 115
Energy of formation from the pure elements = -0.54 eV/atom
N(E_F) = 2.69 states/eV per atom
Calculated volume = 167.3 Å³/cell

[7]
A plane-wave DFT calculation with PBE-GGA was carried out for a relaxed Ho4Bi3 crystal.

Lattice parameters (Å, degrees): 4.276 4.276 11.948 100.31 100.31 90.00
Sites, in units of the cell vectors:
Ho1 0.161 0.161 0.322
Ho2 0.429 0.429 0.859
Ho3 0.571 0.571 0.141
Ho4 0.839 0.839 0.678
Bi1 0.000 0.000 0.000
Bi2 0.299 0.299 0.598
Bi3 0.701 0.701 0.402

Output
Space group = I4/mmm, No. 139
Energy of formation from the pure elements = -0.49 eV/atom
N(E_F) = 0.97 states/eV per atom
Calculated volume = 211.3 Å³/cell
Excess energy over the best structure of this formula in the dataset = 208 meV per atom

[8]
A plane-wave DFT calculation with PBE-GGA was carried out for a relaxed Tl2InPt2 crystal.

Lattice parameters (Å, degrees): 7.307 7.307 4.062 90.00 90.00 90.00
Sites, in units of the cell vectors:
Tl1 0.162 0.662 0.500
Tl2 0.662 0.838 0.500
Tl3 0.838 0.338 0.500
Tl4 0.338 0.162 0.500
Pt1 0.360 0.860 0.000
Pt2 0.860 0.640 0.000
Pt3 0.640 0.140 0.000
Pt4 0.140 0.360 0.000
In1 0.000 0.000 0.000
In2 0.500 0.500 0.000

Output
Space group = P4/mbm, No. 127
Energy of formation from the pure elements = -0.05 eV/atom
N(E_F) = 0.62 states/eV per atom
Calculated volume = 216.9 Å³/cell
Excess energy over the best structure of this formula in the dataset = 0 meV per atom

[9]
A plane-wave DFT calculation with PBE-GGA was carried out for a relaxed ScSbRh2 crystal.

Lattice parameters (Å, degrees): 8.421 8.421 8.421 21.87 21.87 21.87
Sites, in units of the cell vectors:
Rh1 0.000 0.000 0.000
Rh2 0.500 0.500 0.500
Sb1 0.250 0.250 0.250
Sc1 0.750 0.750 0.750

Output
Space group = R-3m, No. 166
N(E_F) = 0.50 states/eV per atom
Formation energy (no corrections) = -149.2 kJ/mol of formula units
Calculated volume = 72.7 Å³/cell

[10]
A plane-wave DFT calculation with PBE-GGA was carried out for a relaxed Ba8Sr2Cd crystal.

Lattice parameters (Å, degrees): 6.611 8.438 11.705 85.44 106.40 90.00
Sites, in units of the cell vectors:
Ba1 0.413 0.397 0.826
Ba2 0.650 0.102 0.300
Ba3 0.836 0.174 0.672
Ba4 0.972 0.770 0.943
Ba5 0.164 0.826 0.328
Ba6 0.350 0.898 0.700
Ba7 0.587 0.603 0.174
Ba8 0.028 0.230 0.057
Sr1 0.780 0.654 0.560
Sr2 0.220 0.346 0.440
Cd1 0.500 0.000 0.000

Output
Space group = C2/m, No. 12
Energy of formation from the pure elements = -0.02 eV/atom
N(E_F) = 1.42 states/eV per atom
Calculated volume = 624.2 Å³/cell

[11]
A plane-wave DFT calculation with PBE-GGA was carried out for a relaxed Tb3Tm7Tl crystal.

Lattice parameters (Å, degrees): 8.448 6.892 6.892 120.00 90.00 90.00
Sites, in units of the cell vectors:
Tb1 0.785 0.501 0.499
Tb2 0.785 0.501 0.003
Tb3 0.785 0.997 0.499
Tm1 0.123 0.167 0.833
Tm2 0.123 0.167 0.335
Tm3 0.112 0.667 0.333
Tm4 0.445 0.830 0.170
Tm5 0.445 0.340 0.170
Tm6 0.445 0.830 0.660
Tm7 0.123 0.665 0.833
Tl1 0.444 0.333 0.667

Output
Space group = P3m1, No. 156
Energy of formation from the pure elements = 0.15 eV/atom
N(E_F) = 1.34 states/eV per atom
Calculated volume = 347.5 Å³/cell

[12]
A plane-wave DFT calculation with PBE-GGA was carried out for a relaxed MgHPd3 crystal.

Lattice parameters (Å, degrees): 3.989 3.990 8.684 76.72 76.71 89.99
Sites, in units of the cell vectors:
H1 0.470 0.262 0.530
H2 0.008 0.800 0.455
Mg1 0.860 0.651 0.753
Mg2 0.619 0.411 0.232
Pd1 0.239 0.531 0.992
Pd2 0.118 0.910 0.234
Pd3 0.360 0.152 0.751
Pd4 0.739 0.031 0.992
Pd5 0.489 0.781 0.492
Pd6 0.989 0.281 0.492

Output
Space group = Cm, No. 8
N(E_F) = 0.24 states/eV per atom
Calculated volume = 130.8 Å³/cell
Excess energy over the best structure of this formula in the dataset = 32 meV per atom

[13]
A plane-wave DFT calculation with PBE-GGA was carried out for a relaxed Al2InSe crystal.

Lattice parameters (Å, degrees): 4.904 4.904 3.517 90.00 90.00 90.00
Sites, in units of the cell vectors:
Al1 0.000 0.000 0.000
Al2 0.500 0.500 0.000
Se1 0.000 0.500 0.500
In1 0.500 0.000 0.500

Output
Space group = P4/mmm, No. 123
N(E_F) = 0.41 states/eV per atom
Formation energy (no corrections) = 41.3 kJ/mol of formula units
Calculated volume = 84.6 Å³/cell
Excess energy over the best structure of this formula in the dataset = 208 meV per atom

[14]
A plane-wave DFT calculation with PBE-GGA was carried out for a relaxed ErCd4Ni crystal.

Lattice parameters (Å, degrees): 5.332 6.959 8.245 114.96 108.89 90.00
Sites, in units of the cell vectors:
Er1 0.206 0.206 0.413
Er2 0.794 0.794 0.587
Cd1 0.833 0.333 0.666
Cd2 0.616 0.341 0.232
Cd3 0.000 0.195 0.000
Cd4 0.384 0.109 0.768
Cd5 0.167 0.667 0.334
Cd6 0.384 0.659 0.768
Cd7 0.000 0.805 0.000
Cd8 0.616 0.891 0.232
Ni1 0.725 0.500 0.000
Ni2 0.275 0.500 0.000

Output
Space group = C2/m, No. 12
Energy of formation from the pure elements = -0.07 eV/atom
N(E_F) = 0.69 states/eV per atom
Calculated volume = 259.1 Å³/cell

[15]
A plane-wave DFT calculation with PBE-GGA was carried out for a relaxed YTmAl6 crystal.

Lattice parameters (Å, degrees): 5.488 5.488 5.488 90.00 90.00 90.00
Sites, in units of the cell vectors:
Y1 0.500 0.500 0.500
Tm1 0.000 0.000 0.000
Al1 0.500 0.750 0.000
Al2 0.750 0.000 0.500
Al3 0.000 0.500 0.250
Al4 0.250 0.000 0.500
Al5 0.500 0.250 0.000
Al6 0.000 0.500 0.750

Output
Space group = Pm-3, No. 200
Energy of formation from the pure elements = -0.09 eV/atom
N(E_F) = 0.68 states/eV per atom
Calculated volume = 165.3 Å³/cell
Excess energy over the best structure of this formula in the dataset = 319 meV per atom

[16]
A plane-wave DFT calculation with PBE-GGA was carried out for a relaxed PmTaIn2O8 crystal.

Lattice parameters (Å, degrees): 4.964 4.966 6.877 90.00 90.00 89.53
Each line ends with the local moment (μB).
Sites, in units of the cell vectors:
Pm1 0.000 0.000 0.500  0.02
Ta1 0.000 0.000 0.000  -0.07
In1 0.500 0.500 0.759  -0.01
In2 0.500 0.500 0.241  -0.01
O1 0.191 0.809 0.214  0.15
O2 0.711 0.712 0.000  0.28
O3 0.809 0.191 0.214  0.15
O4 0.809 0.191 0.786  0.15
O5 0.289 0.288 0.000  0.28
O6 0.191 0.809 0.786  0.15
O7 0.678 0.679 0.500  0.32
O8 0.322 0.321 0.500  0.32

Output
Space group = Cmmm, No. 65
N(E_F) = 0.70 states/eV per atom
Formation energy (no corrections) = -2340.2 kJ/mol of formula units
Calculated volume = 169.5 Å³/cell

[17]
A plane-wave DFT calculation with PBE-GGA was carried out for a relaxed CrRhPb4 crystal.

Lattice parameters (Å, degrees): 6.218 6.218 6.218 60.00 60.00 60.00
Each line ends with the local moment (μB).
Sites, in units of the cell vectors:
Cr1 0.000 0.000 0.000  4.12
Rh1 0.750 0.750 0.750  0.25
Pb1 0.874 0.375 0.375  -0.01
Pb2 0.375 0.375 0.874  -0.01
Pb3 0.375 0.874 0.375  -0.01
Pb4 0.375 0.375 0.375  -0.01

Output
Space group = F-43m, No. 216
Energy of formation from the pure elements = 0.85 eV/atom
N(E_F) = 0.50 states/eV per atom
Calculated volume = 170.0 Å³/cell

[18]
A plane-wave DFT calculation with PBE-GGA was carried out for a relaxed SiAg2SnS4 crystal.

Lattice parameters (Å, degrees): 6.277 6.593 9.059 90.00 90.00 90.00
Sites, in units of the cell vectors:
Si1 0.499 0.829 0.500
Si2 0.999 0.171 0.000
Ag1 0.502 0.298 0.251
Ag2 0.502 0.298 0.749
Ag3 0.002 0.702 0.751
Ag4 0.002 0.702 0.249
Sn1 0.959 0.218 0.500
Sn2 0.459 0.782 0.000
S1 0.347 0.171 0.000
S2 0.847 0.829 0.500
S3 0.389 0.139 0.500
S4 0.889 0.861 0.000
S5 0.401 0.681 0.697
S6 0.901 0.319 0.197
S7 0.901 0.319 0.803
S8 0.401 0.681 0.303

Output
Space group = Pmn2_1, No. 31
N(E_F) = 0.00 states/eV per atom
Formation energy (no corrections) = -299.4 kJ/mol of formula units
Calculated volume = 374.9 Å³/cell

[19]
A plane-wave DFT calculation with PBE-GGA was carried out for a relaxed PuCuH6Ir crystal.

Lattice parameters (Å, degrees): 4.625 4.625 4.305 90.00 90.00 60.00
Each line ends with the local moment (μB).
Sites, in units of the cell vectors:
Pu1 0.000 0.000 0.000  -5.25
Cu1 0.667 0.667 0.500  0.01
H1 0.013 0.494 0.232  0.01
H2 0.494 0.013 0.768  0.01
H3 0.493 0.494 0.768  0.01
H4 0.013 0.493 0.768  0.01
H5 0.494 0.494 0.232  0.01
H6 0.493 0.013 0.232  0.01
Ir1 0.333 0.333 0.500  0.01

Output
Space group = P-6m2, No. 187
N(E_F) = 1.58 states/eV per atom
Total DFT energy (no corrections) = -5.452 eV/atom
Calculated volume = 79.8 Å³/cell

[20]
A plane-wave DFT calculation with PBE-GGA was carried out for a relaxed CaLa2H crystal.

Lattice parameters (Å, degrees): 7.545 7.545 6.906 56.88 56.88 90.00
Sites, in units of the cell vectors:
H1 0.500 0.500 0.000
H2 0.250 0.750 0.500
Ca1 0.000 0.000 0.000
Ca2 0.750 0.250 0.500
La1 0.479 0.125 0.250
La2 0.271 0.625 0.250
La3 0.375 0.521 0.750
La4 0.875 0.729 0.750

Output
Space group = I-42d, No. 122
N(E_F) = 1.75 states/eV per atom
Calculated volume = 249.6 Å³/cell
Excess energy over the best structure of this formula in the dataset = 60 meV per atom

[21]
A plane-wave DFT calculation with PBE-GGA was carried out for a relaxed SrLaCr2 crystal.

Lattice parameters (Å, degrees): 5.372 5.372 5.372 120.08 120.08 89.86
Each line ends with the local moment (μB).
Sites, in units of the cell vectors:
Cr1 0.000 0.000 0.000  3.89
Cr2 0.250 0.750 0.500  3.82
La1 0.500 0.500 0.000  0.12
Sr1 0.750 0.250 0.500  0.05

Output
Space group = I-4m2, No. 119
Energy of formation from the pure elements = 0.85 eV/atom
N(E_F) = 1.18 states/eV per atom
Calculated volume = 109.5 Å³/cell
Excess energy over the best structure of this formula in the dataset = 345 meV per atom

[22]
A plane-wave DFT calculation with PBE-GGA was carried out for a relaxed NaCuSb3 crystal.

Lattice parameters (Å, degrees): 5.207 5.207 5.207 90.00 90.00 90.00
Sites, in units of the cell vectors:
Sb1 0.000 0.500 0.000
Sb2 0.000 0.000 0.500
Sb3 0.500 0.000 0.000
Cu1 0.000 0.000 0.000
Na1 0.500 0.500 0.500

Output
Space group = Pm-3m, No. 221
N(E_F) = 0.52 states/eV per atom
Formation energy (no corrections) = 99.7 kJ/mol of formula units
Calculated volume = 141.1 Å³/cell
Excess energy over the best structure of this formula in the dataset = 271 meV per atom

[23]
A plane-wave DFT calculation with PBE-GGA was carried out for a relaxed YOsPb2 crystal.

Lattice parameters (Å, degrees): 3.391 3.391 9.082 90.00 90.00 89.98
Sites, in units of the cell vectors:
Os1 0.500 0.500 0.740
Pb1 0.000 0.000 0.933
Pb2 0.500 0.500 0.265
Y1 0.000 0.000 0.563

Output
Space group = P4mm, No. 99
Energy of formation from the pure elements = 0.14 eV/atom
N(E_F) = 0.92 states/eV per atom
Calculated volume = 104.4 Å³/cell
Excess energy over the best structure of this formula in the dataset = 3 meV per atom